Record 1
The following is a DFT calculation (PBE) of a relaxed structure of LiPu2Th.

abc: 4.471 4.471 5.142
angles: 90.00 90.00 90.00
Fractional coordinates of all 4 atoms:
Li: 0.000 0.000 0.000
Pu: 0.000 0.500 0.500
Pu: 0.500 0.000 0.500
Th: 0.500 0.500 0.000

Properties
As for the crystal system: tetragonal. The formation energy comes out at 0.308 eV/atom. The calculation puts the theoretical density at 11.745 Mg/m³. As for the total energy: -36.8 eV for the cell shown.

=====

Record 2
The following is a DFT calculation (PBE) of a relaxed structure of HoMn6Ga6.

abc: 8.920 6.808 6.698
angles: 82.66 49.20 48.14
Fractional coordinates of all 13 atoms:
Ho: 0.000 0.000 0.000
Mn: 0.000 0.000 0.500
Mn: 0.003 0.647 0.353
Mn: 0.353 0.997 0.003
Mn: 0.500 0.500 0.000
Mn: 0.647 0.003 0.997
Mn: 0.997 0.353 0.647
Ga: 0.000 0.500 0.000
Ga: 0.257 0.510 0.490
Ga: 0.490 0.743 0.257
Ga: 0.500 0.000 0.500
Ga: 0.510 0.257 0.743
Ga: 0.743 0.490 0.510

Properties
As for the crystal system: orthorhombic. The formation energy comes out at -0.099 eV/atom. The calculation puts the theoretical density at 7.895 Mg/m³. As for the total energy: -79.0 eV for the cell shown.

=====

Record 3
The following is a DFT calculation (PBE) of a relaxed structure of Cs2DyCrS4.

abc: 14.710 13.248 7.847
angles: 84.28 63.66 32.06
Fractional coordinates of all 16 atoms:
Cs: 0.054 0.054 0.696
Cs: 0.304 0.304 0.946
Cs: 0.696 0.696 0.054
Cs: 0.946 0.946 0.304
Dy: 0.125 0.125 0.125
Dy: 0.875 0.875 0.875
Cr: 0.375 0.375 0.375
Cr: 0.625 0.625 0.625
S: 0.018 0.635 0.548
S: 0.299 0.548 0.635
S: 0.365 0.982 0.701
S: 0.452 0.701 0.982
S: 0.548 0.299 0.018
S: 0.635 0.018 0.299
S: 0.701 0.452 0.365
S: 0.982 0.365 0.452

Properties
As for the crystal system: orthorhombic. As for the raw formation energy: -1.190 eV per atom. The calculation puts the theoretical density at 3.413 Mg/m³. As for the total energy: -83.9 eV for the cell shown.

=====

Record 4
The following is a DFT calculation (PBE) of a relaxed structure of Th3IrSeN.

abc: 8.641 4.057 9.056
angles: 90.00 98.50 90.00
Fractional coordinates of all 12 atoms:
Th: 0.054 0.250 0.330
Th: 0.319 0.250 0.978
Th: 0.393 0.750 0.642
Th: 0.607 0.250 0.358
Th: 0.681 0.750 0.022
Th: 0.946 0.750 0.670
Ir: 0.169 0.250 0.648
Ir: 0.831 0.750 0.352
Se: 0.315 0.750 0.264
Se: 0.685 0.250 0.736
N: 0.423 0.750 0.903
N: 0.577 0.250 0.097

Properties
As for the crystal system: monoclinic. As for the raw formation energy: -1.301 eV per atom. The calculation puts the theoretical density at 10.380 Mg/m³. As for the total energy: -101.5 eV for the cell shown.

=====

Record 5
The following is a DFT calculation (PBE) of a relaxed structure of BeSi3.

abc: 2.689 2.689 8.340
angles: 90.00 90.00 120.00
Fractional coordinates of all 4 atoms:
Be: 0.000 0.000 0.000
Si: 0.000 0.000 0.500
Si: 0.667 0.333 0.225
Si: 0.667 0.333 0.775

Properties
As for the crystal system: hexagonal. As for the raw formation energy: 0.489 eV per atom. The calculation puts the theoretical density at 2.965 Mg/m³. As for the total energy: -18.0 eV for the cell shown.

=====

Record 6
The following is a DFT calculation (PBE) of a relaxed structure of SiAs2PSe.

abc: 4.785 4.785 4.681
angles: 90.00 90.00 90.00
Fractional coordinates of all 5 atoms:
Si: 0.000 0.000 0.000
As: 0.000 0.500 0.000
As: 0.500 0.000 0.000
P: 0.500 0.500 0.500
Se: 0.000 0.000 0.500

Properties
As for the crystal system: tetragonal. As for the raw formation energy: 0.877 eV per atom. The calculation puts the theoretical density at 4.460 Mg/m³. As for the total energy: -19.2 eV for the cell shown.

=====

Record 7
The following is a DFT calculation (PBE) of a relaxed structure of Er7Cd2Co2.

abc: 9.686 9.686 9.686
angles: 158.88 63.30 121.09
Fractional coordinates of all 11 atoms:
Er: 0.000 0.000 0.000
Er: 0.059 0.376 0.684
Er: 0.076 0.727 0.349
Er: 0.378 0.727 0.651
Er: 0.425 0.565 0.860
Er: 0.692 0.376 0.316
Er: 0.705 0.565 0.140
Cd: 0.338 0.338 0.000
Cd: 0.722 0.222 0.500
Co: 0.318 0.078 0.240
Co: 0.838 0.078 0.760

Properties
As for the crystal system: orthorhombic. The formation energy comes out at -0.200 eV/atom. The calculation puts the theoretical density at 9.011 Mg/m³. As for the total energy: -50.2 eV for the cell shown.

=====

Record 8
The following is a DFT calculation (PBE) of a relaxed structure of TbPr5Sm8.

abc: 8.624 8.624 8.624
angles: 110.88 110.88 106.69
Fractional coordinates of all 14 atoms:
Tb: 0.000 0.000 0.000
Pr: 0.039 0.435 0.819
Pr: 0.250 0.750 0.500
Pr: 0.565 0.385 0.604
Pr: 0.615 0.219 0.181
Pr: 0.781 0.961 0.396
Sm: 0.088 0.323 0.402
Sm: 0.276 0.173 0.756
Sm: 0.314 0.912 0.235
Sm: 0.417 0.521 0.244
Sm: 0.479 0.724 0.897
Sm: 0.677 0.079 0.765
Sm: 0.827 0.583 0.103
Sm: 0.921 0.686 0.598

Properties
As for the crystal system: tetragonal. The formation energy comes out at 0.234 eV/atom. The calculation puts the theoretical density at 6.961 Mg/m³. As for the total energy: -63.0 eV for the cell shown.